Below is K3PuO4 after structural relaxation, with properties calculated at the GGA-PBE level.

Calculated values
The crystal system is monoclinic. The value obtained for the calculated volume is 18.237 Å³/atom. Its formation energy from raw total energies is -2.1412 eV/atom. As for the energy above the most stable polymorph in this dataset: 0 meV per atom. The magnetization is 6.000 Bohr magnetons per cell.

```
K3PuO4
1.0
6.216 -0.015 0.000
-2.196 6.261 0.000
0.000 0.000 7.504
O K Pu
8 6 2
direct
0.009 0.818 0.913
0.066 0.794 0.308
0.491 0.182 0.913
0.991 0.182 0.087
0.934 0.206 0.692
0.434 0.206 0.308
0.509 0.818 0.087
0.566 0.794 0.692
0.250 0.500 0.879
0.750 0.000 0.386
0.750 0.500 0.121
0.750 0.500 0.637
0.250 0.500 0.363
0.250 0.000 0.614
0.750 0.000 0.887
0.250 0.000 0.113
```

=====

Below is K4Pu3O8 after structural relaxation, with properties calculated at the GGA-PBE level.

Calculated values
The crystal system is trigonal. The value obtained for the calculated volume is 19.067 Å³/atom. Its formation energy from raw total energies is -2.4018 eV/atom. The magnetization is 12.000 Bohr magnetons per cell.

```
K4Pu3O8
1.0
-0.326 -5.086 4.935
5.874 -1.972 3.455
0.669 2.182 7.391
K O Pu
4 8 3
direct
0.000 0.000 0.000
0.353 0.353 0.942
0.647 0.647 0.058
0.500 0.500 0.500
0.745 0.745 0.329
0.777 0.777 0.669
0.223 0.223 0.331
0.255 0.255 0.671
0.180 0.745 0.329
0.820 0.255 0.671
0.255 0.820 0.671
0.745 0.180 0.329
0.000 0.000 0.500
0.500 0.000 0.500
0.000 0.500 0.500
```

=====

Below is KPu2O6 after structural relaxation, with properties calculated at the GGA-PBE level.

Calculated values
The crystal system is cubic. The value obtained for the calculated volume is 18.803 Å³/atom. Its formation energy from raw total energies is -2.5395 eV/atom. As for the energy above the most stable polymorph in this dataset: 0 meV per atom. The magnetization is 10.000 Bohr magnetons per cell.

```
KPu2O6
1.0
6.774 0.000 3.911
2.258 6.387 3.911
0.000 0.000 7.822
O Pu K
12 4 2
direct
0.192 0.808 0.192
0.058 0.442 0.442
0.058 0.442 0.058
0.442 0.442 0.058
0.192 0.192 0.808
0.808 0.192 0.808
0.058 0.058 0.442
0.192 0.808 0.808
0.808 0.192 0.192
0.808 0.808 0.192
0.442 0.058 0.442
0.442 0.058 0.058
0.125 0.125 0.125
0.125 0.125 0.625
0.125 0.625 0.125
0.625 0.125 0.125
0.750 0.750 0.750
0.500 0.500 0.500
```

=====

Below is K2Pu2O7 after structural relaxation, with properties calculated at the GGA-PBE level.

Calculated values
The crystal system is monoclinic. The value obtained for the calculated volume is 16.226 Å³/atom. Its formation energy from raw total energies is -2.2737 eV/atom. As for the energy above the most stable polymorph in this dataset: 193 meV per atom. The magnetization is 4.000 Bohr magnetons per cell.

```
K2Pu2O7
1.0
5.363 0.463 -0.055
0.582 6.334 0.619
-0.385 0.463 5.349
O K Pu
7 2 2
direct
0.453 0.823 0.452
0.519 0.793 0.960
0.481 0.207 0.040
0.547 0.177 0.548
0.961 0.793 0.519
0.000 0.000 0.000
0.039 0.207 0.481
0.245 0.541 0.246
0.755 0.459 0.754
0.281 0.000 0.719
0.719 0.000 0.281
```

=====

Below is K2Pu3O9 after structural relaxation, with properties calculated at the GGA-PBE level.

Calculated values
The crystal system is triclinic. The value obtained for the calculated volume is 18.200 Å³/atom. Its formation energy from raw total energies is -2.5032 eV/atom. The magnetization is 0.368 Bohr magnetons per cell.

```
K2Pu3O9
1.0
0.711 6.738 4.460
-8.248 -6.290 -6.452
0.243 -6.714 5.815
O Pu K
18 6 4
direct
0.676 0.125 0.252
0.000 0.211 0.756
0.237 0.759 0.035
0.104 0.904 0.955
0.896 0.096 0.045
0.558 0.424 0.035
0.914 0.816 0.529
0.086 0.184 0.471
0.000 0.789 0.244
0.664 0.531 0.749
0.324 0.875 0.748
0.585 0.146 0.538
0.763 0.241 0.965
0.415 0.854 0.462
0.336 0.469 0.251
0.759 0.527 0.464
0.442 0.576 0.965
0.241 0.473 0.536
0.830 0.161 0.503
0.170 0.839 0.497
0.172 0.336 0.007
0.828 0.664 0.993
0.500 0.000 0.000
0.500 0.500 0.500
0.242 0.133 0.763
0.758 0.867 0.237
0.957 0.467 0.256
0.043 0.533 0.744
```

=====

Below is K2PuO4 after structural relaxation, with properties calculated at the GGA-PBE level.

Calculated values
The crystal system is orthorhombic. The value obtained for the calculated volume is 17.572 Å³/atom. Its formation energy from raw total energies is -2.3231 eV/atom. The magnetization is 4.000 Bohr magnetons per cell.

```
K2PuO4
1.0
3.495 0.000 0.000
0.000 6.489 0.000
0.000 0.000 10.847
K O Pu
4 8 2
direct
0.500 0.057 0.177
0.500 0.443 0.677
0.500 0.557 0.323
0.500 0.943 0.823
0.500 0.309 0.951
0.000 0.880 0.340
0.000 0.620 0.840
0.000 0.120 0.660
0.000 0.380 0.160
0.500 0.191 0.451
0.500 0.691 0.049
0.500 0.809 0.549
0.000 0.000 0.500
0.000 0.500 0.000
```